[1]
The following is a DFT calculation (PBE) of crystalline MnAs2I at its relaxed geometry.

a b c (Å): 4.754 4.754 4.754
angles (deg): 60.00 60.00 60.00
Positions (direct):
As 0.250 0.250 0.250
As 0.750 0.750 0.750
I 0.500 0.500 0.500
Mn 0.000 0.000 0.000

Energy relative to the lowest polymorph listed for this composition in eV per atom: 0.822
Symmetry: No. 225
Density of states at the Fermi level in states/eV/cell: 8.204

---

[2]
The following is a DFT calculation (PBE) of crystalline MnAs2I at its relaxed geometry.

a b c (Å): 6.273 6.273 7.274
angles (deg): 64.46 64.46 90.00
Positions (direct):
Mn 0.250 0.750 0.500
Mn 0.500 0.500 0.000
I 0.750 0.250 0.500
I 0.000 0.000 0.000
As 0.247 0.625 0.250
As 0.503 0.125 0.250
As 0.875 0.753 0.750
As 0.375 0.497 0.750

Energy relative to the lowest polymorph listed for this composition in eV per atom: 0.000
Symmetry: No. 122
Density of states at the Fermi level in states/eV/cell: 6.407

---

[3]
The following is a DFT calculation (PBE) of crystalline Mn3AsI at its relaxed geometry.

a b c (Å): 4.905 4.905 4.905
angles (deg): 90.00 90.00 90.00
Positions (direct):
Mn 0.000 0.000 0.500
Mn 0.000 0.500 0.000
Mn 0.500 0.000 0.000
I 0.500 0.500 0.500
As 0.000 0.000 0.000

Energy relative to the lowest polymorph listed for this composition in eV per atom: 0.000
Symmetry: No. 221
Density of states at the Fermi level in states/eV/cell: 5.973

---

[4]
The following is a DFT calculation (PBE) of crystalline MnAsI2 at its relaxed geometry.

a b c (Å): 7.866 7.866 7.783
angles (deg): 59.64 59.64 90.00
Positions (direct):
Mn 0.250 0.750 0.500
Mn 0.500 0.500 0.000
As 0.750 0.250 0.500
As 0.000 0.000 0.000
I 0.375 0.462 0.750
I 0.538 0.125 0.250
I 0.875 0.788 0.750
I 0.212 0.625 0.250

Energy relative to the lowest polymorph listed for this composition in eV per atom: 0.000
Symmetry: No. 122
Density of states at the Fermi level in states/eV/cell: 0.000

---

[5]
The following is a DFT calculation (PBE) of crystalline MnAs2I8 at its relaxed geometry.

a b c (Å): 4.265 10.245 11.484
angles (deg): 94.70 103.12 91.46
Positions (direct):
I 0.242 0.286 0.469
I 0.758 0.714 0.531
I 0.915 0.822 0.923
I 0.492 0.469 0.800
I 0.085 0.178 0.077
I 0.508 0.531 0.200
I 0.429 0.072 0.745
I 0.571 0.928 0.255
As 0.899 0.717 0.323
As 0.101 0.283 0.677
Mn 0.500 0.000 0.000

Energy relative to the lowest polymorph listed for this composition in eV per atom: 0.000
Symmetry: No. 2

---

[6]
The following is a DFT calculation (PBE) of crystalline Mn3AsI at its relaxed geometry.

a b c (Å): 4.986 4.986 4.986
angles (deg): 90.00 90.00 90.00
Positions (direct):
I 0.000 0.000 0.000
Mn 0.500 0.000 0.000
Mn 0.000 0.500 0.000
Mn 0.000 0.000 0.500
As 0.500 0.500 0.500

Energy relative to the lowest polymorph listed for this composition in eV per atom: 0.863
Symmetry: No. 221
Density of states at the Fermi level in states/eV/cell: 6.027

---

[7]
The following is a DFT calculation (PBE) of crystalline MnAsI6 at its relaxed geometry.

a b c (Å): 7.001 8.789 8.789
angles (deg): 66.78 74.60 105.40
Positions (direct):
I 0.847 0.263 0.000
I 0.847 0.000 0.737
I 0.153 0.737 0.000
I 0.584 0.737 0.263
I 0.416 0.263 0.737
I 0.153 0.000 0.263
As 0.500 0.000 0.000
Mn 0.000 0.000 0.000

Symmetry: No. 166
Density of states at the Fermi level in states/eV/cell: 6.447

---

[8]
The following is a DFT calculation (PBE) of crystalline MnAs2I8 at its relaxed geometry.

a b c (Å): 7.707 8.549 8.549
angles (deg): 96.69 83.77 83.77
Positions (direct):
Mn 0.000 0.000 0.000
I 0.735 0.591 0.591
I 0.212 0.262 0.938
I 0.767 0.221 0.221
I 0.265 0.409 0.409
I 0.233 0.779 0.779
I 0.788 0.738 0.062
I 0.788 0.062 0.738
I 0.212 0.938 0.262
As 0.607 0.815 0.815
As 0.393 0.185 0.185

Energy relative to the lowest polymorph listed for this composition in eV per atom: 0.028
Symmetry: No. 12

---

[9]
The following is a DFT calculation (PBE) of crystalline MnAsI2N at its relaxed geometry.

a b c (Å): 5.508 5.508 3.560
angles (deg): 90.00 90.00 90.00
Positions (direct):
As 0.500 0.500 0.500
N 0.000 0.000 0.500
I 0.000 0.500 0.000
I 0.500 0.000 0.000
Mn 0.000 0.000 0.000

Energy relative to the lowest polymorph listed for this composition in eV per atom: 0.000
Symmetry: No. 123
Density of states at the Fermi level in states/eV/cell: 4.093

---

[10]
The following is a DFT calculation (PBE) of crystalline MnAsI2N at its relaxed geometry.

a b c (Å): 5.980 5.980 3.696
angles (deg): 90.00 90.00 90.00
Positions (direct):
I 0.500 0.000 0.000
I 0.000 0.500 0.000
Mn 0.500 0.500 0.500
As 0.000 0.000 0.000
N 0.000 0.000 0.500

Energy relative to the lowest polymorph listed for this composition in eV per atom: 0.319
Symmetry: No. 123
Density of states at the Fermi level in states/eV/cell: 2.314

---

Formation energy from raw total energies for the records above, in order: 1148 326 516 423 -200 1379 -211 -172 518 837 meV/atom